1.
The following is a GGA-PBE calculation of crystalline Tb4Ho5Th at its relaxed geometry, from Alexandria via LeMat-Bulk.

Cell lengths 7.8553, 7.8553, 7.8553 Å; angles 99.34, 99.34, 132.49 degrees
Last column: nearest neighbours and their distance in Å.
Fractional positions:
Tb (0.0487, 0.3457, 0.3944)  4 Ho 3.21-3.52, 1 Tb 3.29
Tb (0.3457, 0.9513, 0.2969)  4 Ho 3.21-3.52, 1 Tb 3.29
Tb (0.6543, 0.0487, 0.7031)  4 Ho 3.21-3.52, 1 Tb 3.29
Tb (0.9513, 0.6543, 0.6056)  4 Ho 3.21-3.52, 1 Tb 3.29
Ho (0.2422, 0.2422, 0.0000)  1 Th 2.95, 4 Ho 3.23
Ho (0.2696, 0.6467, 0.9136)  4 Tb 3.21-3.52, 1 Ho 3.23, 1 Th 3.28
Ho (0.3560, 0.2696, 0.6229)  4 Tb 3.21-3.52, 1 Ho 3.23, 1 Th 3.28
Ho (0.6467, 0.7331, 0.3771)  4 Tb 3.21-3.52, 1 Ho 3.23, 1 Th 3.28
Ho (0.7331, 0.3560, 0.0864)  4 Tb 3.21-3.52, 1 Ho 3.23, 1 Th 3.28
Th (0.7761, 0.7761, 0.0000)  5 Ho 2.95-3.28

Calculated values
Energy relative to the lowest polymorph listed for this composition, meV/atom: 100.9
Formation enthalpy at 0 K, eV per atom: 0.327
DOS at the Fermi energy, states/eV/f.u.: 14.80
Spin magnetization, μB/f.u.: 0.00

2.
The following is a GGA-PBE calculation of crystalline TbHo8Th2 at its relaxed geometry, from Alexandria via LeMat-Bulk.

Cell lengths 10.0469, 10.0469, 5.5570 Å; angles 91.99, 91.99, 40.77 degrees
Last column: nearest neighbours and their distance in Å.
Fractional positions:
Tb (0.0000, 0.0000, 0.0000)  10 Ho 3.47-3.83
Ho (0.1387, 0.5990, 0.2626)  4 Ho 3.22-3.54, 2 Th 3.41-3.55, 1 Tb 3.47
Ho (0.1820, 0.1820, 0.2329)  4 Th 3.33-3.57, 4 Ho 3.45-3.54, 1 Tb 3.62
Ho (0.4010, 0.8613, 0.7374)  4 Ho 3.22-3.54, 2 Th 3.41-3.55, 1 Tb 3.47
Ho (0.4532, 0.4532, 0.7622)  2 Ho 3.12-3.46, 1 Th 3.22
Ho (0.5468, 0.5468, 0.2378)  2 Ho 3.12-3.46, 1 Th 3.22
Ho (0.5990, 0.1387, 0.2626)  4 Ho 3.22-3.54, 2 Th 3.41-3.55, 1 Tb 3.47
Ho (0.8180, 0.8180, 0.7671)  4 Th 3.33-3.57, 4 Ho 3.45-3.54, 1 Tb 3.62
Ho (0.8613, 0.4010, 0.7374)  4 Ho 3.22-3.54, 2 Th 3.41-3.55, 1 Tb 3.47
Th (0.2820, 0.2820, 0.7392)  9 Ho 3.22-3.57
Th (0.7180, 0.7180, 0.2608)  9 Ho 3.22-3.57

Calculated values
Energy relative to the lowest polymorph listed for this composition, meV/atom: 8.5
Formation enthalpy at 0 K, eV per atom: 0.194
DOS at the Fermi energy, states/eV/f.u.: 16.40
Spin magnetization, μB/f.u.: 0.00

Calculated density for the records above, in order: 8.6, 8.8 g cm⁻³